The following is a PBE-GGA calculation of a relaxed structure of LaCePtAu, from Alexandria.

The value obtained for the size of the total moment is 1.06 μB/f.u. As for the calculated volume: 24.897 Å³ per atom. Its offset from the most stable computed form is 0.089 eV/atom. Its energy relative to the elements is -832 meV per atom. The total energy comes out at -5.877 eV/atom. The value obtained for the mass density is 11.19 g/cm³.

It has space group F-43m (No. 216), with a = 7.358 Å, b = 7.358 Å, c = 7.358 Å, α = 90.00°, β = 90.00° and γ = 90.00°. The asymmetric unit holds La at (0.000, 0.000, 0.000), Ce at (0.000, 0.000, 0.500), Pt at (0.250, 0.250, 0.750) and Au at (0.250, 0.250, 0.250).